Mg16Al12Hg, relaxed, DFT PBE; ΔE to the lowest computed polymorph = 0.000 eV/f.u.; energy of formation = -0.0371 eV/atom
1.0
-4.5421 -7.6768 -1.7096
5.9646 -1.5061 6.6814
-4.4674 -2.6030 7.5080
Al Mg Hg
12 16 1
Direct
0.6415 0.8249 0.9909 Al
0.3663 0.1793 0.6426 Al
0.1798 0.1798 0.1812 Al
0.0039 0.6326 0.1820 Al
0.8249 0.6415 0.9909 Al
0.9996 0.8130 0.3640 Al
0.6326 0.0039 0.1820 Al
0.8196 0.1912 0.8128 Al
0.1793 0.3663 0.6426 Al
0.8130 0.9996 0.3640 Al
0.1912 0.8196 0.8128 Al
0.3672 0.3672 0.8226 Al
0.3235 0.5974 0.0011 Mg
0.7150 0.4029 0.5986 Mg
0.9961 0.3129 0.3997 Mg
0.4029 0.7150 0.5986 Mg
0.0019 0.0019 0.6585 Mg
0.2898 0.6789 0.3160 Mg
0.6004 0.0020 0.6821 Mg
0.9983 0.3477 0.0052 Mg
0.0020 0.6004 0.6821 Mg
0.6490 0.6490 0.3346 Mg
0.5974 0.3235 0.0011 Mg
0.6789 0.2898 0.3160 Mg
0.3129 0.9961 0.3997 Mg
0.6900 0.6900 0.7081 Mg
0.3477 0.9983 0.0052 Mg
0.9994 0.9994 0.0014 Mg
0.3752 0.3752 0.3048 Hg

***

Mg16Al12Hg, relaxed, DFT PBE; ΔE to the lowest computed polymorph = 0.147 eV/f.u.; energy of formation = -0.0320 eV/atom
1.0
5.2706 -7.4219 -0.0273
5.2706 7.4219 -0.0273
-5.1417 0.0000 7.5118
Al Hg Mg
12 1 16
Direct
0.6356 0.0072 0.8197 Al
0.3564 0.1691 0.3564 Al
0.1860 0.1860 0.8103 Al
0.6356 0.8197 0.0072 Al
0.0072 0.8197 0.6356 Al
0.8103 0.1860 0.1860 Al
0.1691 0.3564 0.3564 Al
0.8197 0.6356 0.0072 Al
0.8197 0.0072 0.6356 Al
0.1860 0.8103 0.1860 Al
0.3564 0.3564 0.1691 Al
0.0072 0.6356 0.8197 Al
0.6663 0.6663 0.6663 Hg
0.4038 0.7038 0.4038 Mg
0.9992 0.5965 0.3200 Mg
0.7038 0.4038 0.4038 Mg
0.9992 0.3200 0.5965 Mg
0.9974 0.9974 0.9974 Mg
0.6862 0.6862 0.2875 Mg
0.2875 0.6862 0.6862 Mg
0.9997 0.3452 0.9997 Mg
0.3452 0.9997 0.9997 Mg
0.5965 0.9992 0.3200 Mg
0.9997 0.9997 0.3452 Mg
0.6862 0.2875 0.6862 Mg
0.5965 0.3200 0.9992 Mg
0.3200 0.9992 0.5965 Mg
0.4038 0.4038 0.7038 Mg
0.3200 0.5965 0.9992 Mg

***

no.,DFT total energy (eV/atom)
1,-2.476
2,-2.471